[1]
VASP calculation (PBE) on a geometry-optimized YPuAgO6 structure.

```
YPuAgO6
1.0
5.519 0.000 0.000
-2.760 4.780 0.000
0.000 0.000 9.903
Y Pu Ag O
2 2 2 12
Cartesian
0.000 0.000 0.000
0.000 0.000 4.952
2.760 1.593 2.476
0.000 3.187 7.427
0.000 3.187 2.476
2.760 1.593 7.427
1.987 3.053 1.311
4.411 1.533 1.311
-0.878 4.586 6.263
-1.651 3.247 8.592
1.109 1.533 3.640
3.533 3.053 3.640
0.878 4.586 8.592
3.638 0.194 3.640
-0.773 1.726 6.263
1.882 0.194 1.311
1.651 3.247 6.263
0.773 1.726 8.592
```

Properties
Formation energy without anion corrections (kcal/mol of atoms): -47.70
Total DFT energy (no corrections) (eV/atom): -8.002

***

[2]
VASP calculation (PBE) on a geometry-optimized Pm3Y8 structure.

```
Pm3Y8
1.0
-2.373 -4.259 2.953
2.561 -1.993 4.686
-6.419 6.522 9.749
Pm Y
3 8
Cartesian
-1.265 -0.321 4.021
-4.966 0.592 13.366
0.000 0.000 0.000
-3.053 2.053 6.009
-5.786 3.681 11.661
-0.445 -3.411 5.726
-3.178 -1.783 11.379
-2.239 -1.029 7.719
-4.755 4.313 7.900
-1.476 -4.043 9.487
-3.992 1.299 9.668
```

Properties
Excess energy over the best structure of this formula in the dataset (meV per atom): 0
Total DFT energy (no corrections) (eV/atom): -5.883
Energy relative to the elements (eV/atom): 0.11